Pu3H7Ru2 PBE relaxed; calculated total energy = -85.8 eV per cell; DOS(E_F) = 19.2 states/eV/f.u.
1.0
3.755 0.000 0.000
0.000 3.220 0.000
-0.282 0.000 11.384
Pu H Ru
3 7 2
Direct
0.000 0.000 0.000
0.210 0.500 0.380
0.790 0.500 0.620
0.163 0.500 0.799
0.264 0.000 0.581
0.482 0.000 0.884
0.500 0.500 0.000
0.518 0.000 0.116
0.736 0.000 0.419
0.837 0.500 0.201
0.321 0.000 0.745
0.679 0.000 0.255


Li2Cd2In3 PBE relaxed; calculated formation energy = -0.095 eV/atom; relative energy among the computed polymorphs = 0.000 eV per atom; calculated total energy = -14.5 eV per cell; DOS(E_F) = 2.2 states/eV/f.u.
1.0
4.922 0.000 0.000
0.000 3.121 0.000
-2.328 0.000 10.728
Li Cd In
2 2 3
Direct
0.080 0.000 0.150
0.920 0.000 0.850
0.360 0.500 0.729
0.640 0.500 0.271
0.209 0.500 0.415
0.500 0.500 0.000
0.791 0.500 0.585


Sr2Zn4HgGe3 PBE relaxed; calculated formation energy = -0.350 eV/atom; calculated total energy = -26.1 eV per cell; DOS(E_F) = 1.2 states/eV/f.u.
1.0
4.395 0.000 0.000
0.000 4.395 0.000
0.000 0.000 11.088
Sr Zn Hg Ge
2 4 1 3
Direct
0.000 0.500 0.242
0.500 0.000 0.758
0.000 0.000 0.000
0.000 0.500 0.643
0.500 0.000 0.357
0.500 0.500 0.000
0.000 0.000 0.500
0.000 0.500 0.869
0.500 0.000 0.131
0.500 0.500 0.500


K2MgAgOs PBE relaxed; calculated formation energy = 1.208 eV/atom; calculated total energy = -11.8 eV per cell; DOS(E_F) = 4.1 states/eV/f.u.
1.0
6.084 0.000 0.000
0.000 6.084 0.000
0.000 0.000 5.182
K Mg Ag Os
2 1 1 1
Direct
0.000 0.500 0.000
0.500 0.000 0.000
0.000 0.000 0.500
0.500 0.500 0.000
0.500 0.500 0.500


Ba2Li9Cd6 PBE relaxed; calculated formation energy = -0.127 eV/atom; calculated total energy = -28.7 eV per cell; DOS(E_F) = 6.8 states/eV/f.u.
1.0
6.051 0.000 0.000
-3.026 5.241 0.000
0.000 0.000 14.266
Ba Li Cd
2 9 6
Direct
0.000 0.000 0.177
0.000 0.000 0.823
0.000 0.500 0.000
0.000 0.500 0.338
0.000 0.500 0.662
0.500 0.000 0.000
0.500 0.000 0.338
0.500 0.000 0.662
0.500 0.500 0.000
0.500 0.500 0.338
0.500 0.500 0.662
0.333 0.667 0.169
0.333 0.667 0.500
0.333 0.667 0.831
0.667 0.333 0.169
0.667 0.333 0.500
0.667 0.333 0.831


Np2TcIr PBE relaxed; calculated formation energy = -0.021 eV/atom; relative energy among the computed polymorphs = 0.017 eV per atom; calculated total energy = -45.2 eV per cell; DOS(E_F) = 8.3 states/eV/f.u.
1.0
0.000 3.385 3.385
3.385 0.000 3.385
3.385 3.385 0.000
Np Tc Ir
2 1 1
Direct
0.250 0.250 0.250
0.750 0.750 0.750
0.000 0.000 0.000
0.500 0.500 0.500


> Which of these has the highest calculated total energy?

K2MgAgOs